(1)
# Sm3Tl3CdTe8

Sm3Tl3CdTe8 after structural relaxation (PBE-GGA, Alexandria via LeMat-Bulk).

It has space group C2/m (No. 12), with a = 15.408 Å, b = 8.890 Å, c = 9.638 Å, α = 90.00°, β = 122.25° and γ = 90.00°. The distinct sites, in fractional coordinates, are Sm at (0.000, 0.000, 0.000), Sm at (0.250, 0.250, 0.000), Tl at (0.000, 0.500, 0.500), Tl at (0.250, 0.250, 0.500), Cd at (0.000, 0.500, 0.000), Te at (0.010, 0.253, 0.783), Te at (0.236, 0.500, 0.216) and Te at (0.241, 0.000, 0.222).

The raw total energy comes out at -3.9490 eV per atom. For the spin magnetization, the calculation gives 0.0 μB per cell. The formation energy from raw total energies is -795 meV per atom.

(2)
# SmTlCdTe3

SmTlCdTe3 after structural relaxation (PBE-GGA, Alexandria via LeMat-Bulk).

It has space group P2_1/m (No. 11), with a = 9.517 Å, b = 4.544 Å, c = 10.554 Å, α = 90.00°, β = 105.91° and γ = 90.00°. The distinct sites, in fractional coordinates, are Sm at (0.175, 0.250, 0.141), Tl at (0.293, 0.750, 0.781), Cd at (0.415, 0.750, 0.394), Te at (0.046, 0.250, 0.836), Te at (0.268, 0.250, 0.468) and Te at (0.401, 0.750, 0.122).

The raw total energy comes out at -3.7276 eV per atom. For the spin magnetization, the calculation gives 0.0 μB per cell. The formation energy from raw total energies is -823 meV per atom.

(3)
# SmThCd

SmThCd after structural relaxation (PBE-GGA, Alexandria via LeMat-Bulk).

It has space group I4mm (No. 107), with a = 3.650 Å, b = 3.650 Å, c = 13.551 Å, α = 90.00°, β = 90.00° and γ = 90.00°. The distinct sites, in fractional coordinates, are Sm at (0.000, 0.000, 0.000), Th at (0.000, 0.000, 0.315) and Cd at (0.000, 0.000, 0.651).

The raw total energy comes out at -4.4516 eV per atom. Its formation energy is -0.3 eV/f.u. For the spin magnetization, the calculation gives 0.0 μB per cell.

(4)
# Sm3ThCd2

Sm3ThCd2 after structural relaxation (PBE-GGA, Alexandria via LeMat-Bulk).

It has space group P4/mmm (No. 123), with a = 3.659 Å, b = 3.659 Å, c = 13.094 Å, α = 90.00°, β = 90.00° and γ = 90.00°. The distinct sites, in fractional coordinates, are Sm at (0.000, 0.000, 0.000), Sm at (0.000, 0.000, 0.316), Th at (0.500, 0.500, 0.500) and Cd at (0.500, 0.500, 0.158).

The raw total energy comes out at -4.1092 eV per atom. Its formation energy is -1.2 eV/f.u. For the spin magnetization, the calculation gives 0.3 μB per cell.

(5)
# Sm2Th2Cd

Sm2Th2Cd after structural relaxation (PBE-GGA, Alexandria via LeMat-Bulk).

It has space group I4/mmm (No. 139), with a = 3.638 Å, b = 3.638 Å, c = 23.085 Å, α = 90.00°, β = 90.00° and γ = 90.00°. The distinct sites, in fractional coordinates, are Sm at (0.000, 0.000, 0.090), Th at (0.000, 0.000, 0.302) and Cd at (0.000, 0.000, 0.500).

The raw total energy comes out at -5.1647 eV per atom. Its formation energy is -0.6 eV/f.u. For the spin magnetization, the calculation gives 0.0 μB per cell.

(6)
# Sm2ThCd6

Sm2ThCd6 after structural relaxation (PBE-GGA, Alexandria via LeMat-Bulk).

It has space group P6/mmm (No. 191), with a = 8.7989 Å, b = 8.7989 Å, c = 3.4105 Å, α = 90.00°, β = 90.00° and γ = 120.00°. The distinct sites, in fractional coordinates, are Sm at (0.3333, 0.6667, 0.0000), Th at (0.0000, 0.0000, 0.0000) and Cd at (0.0000, 0.3354, 0.5000).

The raw total energy comes out at -2.7718 eV per atom. Its formation energy is -2.6 eV/f.u. For the spin magnetization, the calculation gives 0.0 μB per cell.

(7)
# Sm4ThCd3

Sm4ThCd3 after structural relaxation (PBE-GGA, Alexandria via LeMat-Bulk).

It has space group Pmmm (No. 47), with a = 3.646 Å, b = 5.605 Å, c = 11.262 Å, α = 90.00°, β = 90.00° and γ = 90.00°. The distinct sites, in fractional coordinates, are Sm at (0.000, 0.000, 0.000), Sm at (0.000, 0.000, 0.500), Sm at (0.000, 0.500, 0.239), Th at (0.500, 0.500, 0.500), Cd at (0.500, 0.000, 0.251) and Cd at (0.500, 0.500, 0.000).

The raw total energy comes out at -3.8070 eV per atom. Its formation energy is -1.4 eV/f.u. For the spin magnetization, the calculation gives 0.0 μB per cell.

(8)
# Sm2ThCd

Sm2ThCd after structural relaxation (PBE-GGA, Alexandria via LeMat-Bulk).

It has space group R3m (No. 160, hexagonal axes), with a = 3.5965 Å, b = 3.5965 Å, c = 33.2398 Å, α = 90.00°, β = 90.00° and γ = 120.00°. The distinct sites, in fractional coordinates, are Sm at (0.0000, 0.0000, 0.0000), Sm at (0.0000, 0.0000, 0.1768), Th at (0.0000, 0.0000, 0.4218) and Cd at (0.0000, 0.0000, 0.5882).

The raw total energy comes out at -4.4703 eV per atom. Its formation energy is -0.1 eV/f.u. For the spin magnetization, the calculation gives 0.0 μB per cell.

What is the raw total energy in the fourth record? -4.1092 eV per atom

spin magnetization of number 2 (SmTlCdTe3)? 0.0 μB per cell